Compound: PdBrF3
Source: the Alexandria database
Functional: PBE
Structure: optimized geometry

Geometry as POSCAR:
```
PdBrF3
1.0
5.595 0.000 0.000
0.000 5.165 0.000
-0.020 0.000 6.551
Pd Br F
2 2 6
direct
0.250 0.000 0.004 Pd
0.750 0.500 0.996 Pd
0.251 0.784 0.331 Br
0.749 0.284 0.669 Br
0.002 0.751 0.885 F
0.249 0.191 0.742 F
0.497 0.751 0.885 F
0.503 0.251 0.115 F
0.751 0.691 0.258 F
0.998 0.251 0.115 F
```

ΔE_f (raw): -872 meV per atom
D(E_F): 7.22 states/eV/cell
total magnetization: 1.97 μB per cell